Entry 1:
First-principles (PBE) data for Er4IrSeS2 after structural relaxation, as listed in the Alexandria database.

```
Er4IrSeS2
1.0
6.963 0.000 0.000
0.000 3.907 0.000
-2.226 0.000 6.598
Er Ir Se S
4 1 1 2
direct
0.233 0.000 0.242
0.233 0.500 0.747
0.767 0.000 0.758
0.767 0.500 0.253
0.000 0.500 0.000
0.500 0.000 0.000
0.000 0.000 0.500
0.500 0.500 0.500
```

Results
- formation energy from raw total energies (meV per atom) = -1581
- total DFT energy (no corrections) (eV/atom) = -6.44
- space group = No. 10

=====

Entry 2:
First-principles (PBE) data for ErThIrS after structural relaxation, as listed in the Alexandria database.

```
ErThIrS
1.0
1.958 1.130 7.295
-1.958 1.130 7.295
0.000 -2.261 7.295
Er Th Ir S
1 1 1 1
direct
0.000 0.000 0.000
0.180 0.180 0.180
0.590 0.590 0.590
0.417 0.417 0.417
```

Results
- formation energy from raw total energies (meV per atom) = -1277
- total DFT energy (no corrections) (eV/atom) = -7.52
- space group = No. 160

=====

Entry 3:
First-principles (PBE) data for Er2SbIr after structural relaxation, as listed in the Alexandria database.

```
Er2SbIr
1.0
6.045 0.000 0.000
0.000 4.285 0.000
-2.845 0.000 7.446
Er Sb Ir
4 2 2
direct
0.163 0.250 0.401
0.244 0.750 0.050
0.756 0.250 0.950
0.837 0.750 0.599
0.394 0.750 0.710
0.606 0.250 0.290
0.126 0.250 0.789
0.874 0.750 0.211
```

Results
- formation energy from raw total energies (meV per atom) = -967
- total DFT energy (no corrections) (eV/atom) = -6.49
- space group = No. 11

=====

Entry 4:
First-principles (PBE) data for Er7Sb2Ir2 after structural relaxation, as listed in the Alexandria database.

```
Er7Sb2Ir2
1.0
-2.004 7.822 4.599
2.004 -7.822 4.599
2.004 7.822 -4.599
Er Sb Ir
7 2 2
direct
0.000 0.000 0.000
0.285 0.412 0.873
0.310 0.624 0.686
0.539 0.412 0.127
0.609 0.256 0.353
0.903 0.256 0.647
0.937 0.624 0.314
0.254 0.754 0.500
0.667 0.667 0.000
0.170 0.929 0.241
0.688 0.929 0.759
```

Results
- formation energy from raw total energies (meV per atom) = -800
- total DFT energy (no corrections) (eV/atom) = -6.06
- space group = No. 44

=====

Entry 5:
First-principles (PBE) data for Er6Sb2Ir after structural relaxation, as listed in the Alexandria database.

```
Er6Sb2Ir
1.0
6.743 0.000 0.000
0.000 6.743 0.000
0.000 0.000 13.403
Er Sb Ir
12 4 2
direct
0.187 0.187 0.151
0.187 0.187 0.849
0.219 0.219 0.500
0.281 0.719 0.000
0.313 0.687 0.349
0.313 0.687 0.651
0.687 0.313 0.349
0.687 0.313 0.651
0.719 0.281 0.000
0.781 0.781 0.500
0.813 0.813 0.151
0.813 0.813 0.849
0.000 0.000 0.334
0.000 0.000 0.666
0.500 0.500 0.166
0.500 0.500 0.834
0.000 0.000 0.000
0.500 0.500 0.500
```

Results
- formation energy from raw total energies (meV per atom) = -437
- total DFT energy (no corrections) (eV/atom) = -5.38
- space group = No. 136

=====

Entry 6:
First-principles (PBE) data for ErSbIr after structural relaxation, as listed in the Alexandria database.

```
ErSbIr
1.0
7.138 0.000 0.000
0.000 4.486 0.000
0.000 0.000 7.928
Er Sb Ir
4 4 4
direct
0.011 0.250 0.191
0.489 0.750 0.691
0.511 0.250 0.309
0.989 0.750 0.809
0.177 0.250 0.589
0.323 0.750 0.089
0.677 0.250 0.911
0.823 0.750 0.411
0.211 0.750 0.411
0.289 0.250 0.911
0.711 0.750 0.089
0.789 0.250 0.589
```

Results
- formation energy from raw total energies (meV per atom) = -887
- total DFT energy (no corrections) (eV/atom) = -6.74
- space group = No. 62

=====

Entry 7:
First-principles (PBE) data for Er2SbIr after structural relaxation, as listed in the Alexandria database.

```
Er2SbIr
1.0
3.510 0.000 0.000
0.000 3.510 0.000
0.000 0.000 7.518
Er Sb Ir
2 1 1
direct
0.000 0.000 0.216
0.000 0.000 0.784
0.500 0.500 0.500
0.500 0.500 0.000
```

Results
- formation energy from raw total energies (meV per atom) = -813
- total DFT energy (no corrections) (eV/atom) = -6.34
- space group = No. 123

=====

Entry 8:
First-principles (PBE) data for Er2SbIr after structural relaxation, as listed in the Alexandria database.

```
Er2SbIr
1.0
2.366 1.366 4.908
-2.366 1.366 4.908
0.000 -2.732 4.908
Er Sb Ir
2 1 1
direct
0.240 0.240 0.240
0.760 0.760 0.760
0.000 0.000 0.000
0.500 0.500 0.500
```

Results
- formation energy from raw total energies (meV per atom) = -676
- total DFT energy (no corrections) (eV/atom) = -6.20
- space group = No. 166

=====

Entry 9:
First-principles (PBE) data for Er7Sb2Ir2 after structural relaxation, as listed in the Alexandria database.

```
Er7Sb2Ir2
1.0
4.377 -5.181 0.000
4.377 5.181 0.000
0.000 0.000 7.096
Er Sb Ir
7 2 2
direct
0.000 0.000 0.000
0.000 0.500 0.240
0.000 0.500 0.760
0.500 0.000 0.240
0.500 0.000 0.760
0.500 0.500 0.231
0.500 0.500 0.769
0.214 0.214 0.500
0.786 0.786 0.500
0.277 0.723 0.000
0.723 0.277 0.000
```

Results
- formation energy from raw total energies (meV per atom) = -661
- total DFT energy (no corrections) (eV/atom) = -5.93
- space group = No. 65

=====

Entry 10:
First-principles (PBE) data for ErSbIr after structural relaxation, as listed in the Alexandria database.

```
ErSbIr
1.0
4.614 0.000 0.000
-2.307 3.996 0.000
0.000 0.000 3.409
Er Sb Ir
1 1 1
direct
0.000 0.000 0.000
0.667 0.333 0.500
0.333 0.667 0.500
```

Results
- formation energy from raw total energies (meV per atom) = -756
- total DFT energy (no corrections) (eV/atom) = -6.60
- space group = No. 187

=====

Entry 11:
First-principles (PBE) data for ErSbIr after structural relaxation, as listed in the Alexandria database.

```
ErSbIr
1.0
-1.917 1.917 4.542
1.917 -1.917 4.542
1.917 1.917 -4.542
Er Sb Ir
1 1 1
direct
0.000 0.000 0.000
0.679 0.679 0.000
0.379 0.379 0.000
```

Results
- formation energy from raw total energies (meV per atom) = -368
- total DFT energy (no corrections) (eV/atom) = -6.22
- space group = No. 107

=====

Entry 12:
First-principles (PBE) data for Er4Sb2Ir after structural relaxation, as listed in the Alexandria database.

```
Er4Sb2Ir
1.0
5.702 -2.189 0.000
5.702 2.189 0.000
-4.300 0.000 7.461
Er Sb Ir
4 2 1
direct
0.068 0.068 0.351
0.336 0.336 0.944
0.664 0.664 0.056
0.932 0.932 0.649
0.344 0.344 0.339
0.656 0.656 0.661
0.000 0.000 0.000
```

Results
- formation energy from raw total energies (meV per atom) = -833
- total DFT energy (no corrections) (eV/atom) = -5.88
- space group = No. 12

=====

Entry 13:
First-principles (PBE) data for ErSc2Ir2 after structural relaxation, as listed in the Alexandria database.

```
ErSc2Ir2
1.0
4.619 0.000 0.000
-2.309 4.000 0.000
0.000 0.000 5.663
Er Sc Ir
1 2 2
direct
0.000 0.000 0.000
0.333 0.667 0.656
0.667 0.333 0.344
0.333 0.667 0.176
0.667 0.333 0.824
```

Results
- total DFT energy (no corrections) (eV/atom) = -7.82
- formation energy from the elements (eV per atom) = -0.8291
- space group = No. 164

=====

Entry 14:
First-principles (PBE) data for Er2Sc3Ir2 after structural relaxation, as listed in the Alexandria database.

```
Er2Sc3Ir2
1.0
5.609 -1.895 0.000
5.609 1.895 0.000
-3.637 0.000 7.446
Er Sc Ir
2 3 2
direct
0.156 0.156 0.301
0.844 0.844 0.699
0.377 0.377 0.066
0.500 0.500 0.500
0.623 0.623 0.934
0.166 0.166 0.730
0.834 0.834 0.270
```

Results
- total DFT energy (no corrections) (eV/atom) = -7.22
- formation energy from the elements (eV per atom) = -0.6662
- space group = No. 12

=====

Entry 15:
First-principles (PBE) data for ErSc5Ir6 after structural relaxation, as listed in the Alexandria database.

```
ErSc5Ir6
1.0
2.307 -6.920 0.000
2.307 6.920 0.000
0.000 0.000 6.504
Er Sc Ir
1 5 6
direct
0.000 0.000 0.000
0.000 0.000 0.500
0.332 0.668 0.000
0.333 0.667 0.500
0.667 0.333 0.500
0.668 0.332 0.000
0.169 0.831 0.254
0.169 0.831 0.746
0.500 0.500 0.258
0.500 0.500 0.742
0.831 0.169 0.254
0.831 0.169 0.746
```

Results
- total DFT energy (no corrections) (eV/atom) = -8.43
- formation energy from the elements (eV per atom) = -0.9815
- space group = No. 65

=====

Entry 16:
First-principles (PBE) data for ErScIr after structural relaxation, as listed in the Alexandria database.

```
ErScIr
1.0
0.000 3.283 3.283
3.283 0.000 3.283
3.283 3.283 0.000
Er Sc Ir
1 1 1
direct
0.000 0.000 0.000
0.500 0.500 0.500
0.250 0.250 0.250
```

Results
- total DFT energy (no corrections) (eV/atom) = -7.30
- formation energy from the elements (eV per atom) = -0.7127
- space group = No. 216

=====

Entry 17:
First-principles (PBE) data for ErSc2Ir4 after structural relaxation, as listed in the Alexandria database.

```
ErSc2Ir4
1.0
-3.234 3.234 3.127
3.234 -3.234 3.127
3.234 3.234 -3.127
Er Sc Ir
1 2 4
direct
0.000 0.000 0.000
0.000 0.500 0.500
0.500 0.000 0.500
0.000 0.000 0.500
0.000 0.500 0.000
0.500 0.000 0.000
0.500 0.500 0.500
```

Results
- total DFT energy (no corrections) (eV/atom) = -7.91
- formation energy from the elements (eV per atom) = -0.3852
- space group = No. 139

=====

Entry 18:
First-principles (PBE) data for ErScIr2 after structural relaxation, as listed in the Alexandria database.

```
ErScIr2
1.0
3.218 0.000 0.000
0.000 3.218 0.000
0.000 0.000 7.004
Er Sc Ir
1 1 2
direct
0.000 0.000 0.000
0.000 0.000 0.500
0.500 0.500 0.266
0.500 0.500 0.734
```

Results
- total DFT energy (no corrections) (eV/atom) = -8.09
- formation energy from the elements (eV per atom) = -0.9364
- space group = No. 123

=====

Entry 19:
First-principles (PBE) data for ErScIr after structural relaxation, as listed in the Alexandria database.

```
ErScIr
1.0
7.114 0.000 0.000
-3.557 6.161 0.000
0.000 0.000 4.424
Er Sc Ir
3 3 3
direct
0.000 0.587 0.000
0.413 0.413 0.000
0.587 0.000 0.000
0.000 0.254 0.500
0.254 0.000 0.500
0.746 0.746 0.500
0.000 0.000 0.000
0.333 0.667 0.500
0.667 0.333 0.500
```

Results
- total DFT energy (no corrections) (eV/atom) = -7.38
- formation energy from the elements (eV per atom) = -0.7950
- space group = No. 189

=====

Entry 20:
First-principles (PBE) data for Er3ScIr2 after structural relaxation, as listed in the Alexandria database.

```
Er3ScIr2
1.0
-3.291 6.620 3.491
3.291 -6.620 3.491
3.291 6.620 -3.491
Er Sc Ir
6 2 4
direct
0.020 0.750 0.270
0.250 0.250 0.000
0.480 0.750 0.730
0.520 0.250 0.270
0.750 0.750 0.000
0.980 0.250 0.730
0.000 0.500 0.500
0.500 0.000 0.500
0.136 0.218 0.353
0.364 0.718 0.082
0.636 0.282 0.918
0.864 0.782 0.647
```

Results
- total DFT energy (no corrections) (eV/atom) = -6.97
- formation energy from the elements (eV per atom) = -0.6815
- space group = No. 72